# YFe3Se2ClO8

A geometry-optimized YFe3Se2ClO8 structure (PBE with a Hubbard U, Alexandria via LeMat-Bulk).

Cell: 6.529 9.667 7.241 Å, 90.00 90.00 90.00°
Sites, in units of the cell vectors:
Y  0.250  0.250  0.224
Y  0.750  0.750  0.776
Fe  0.000  0.000  0.500
Fe  0.000  0.500  0.500
Fe  0.250  0.250  0.700
Fe  0.500  0.000  0.500
Fe  0.500  0.500  0.500
Fe  0.750  0.750  0.300
Se  0.250  0.562  0.918
Se  0.250  0.938  0.918
Se  0.750  0.062  0.082
Se  0.750  0.438  0.082
Cl  0.250  0.750  0.381
Cl  0.750  0.250  0.619
O  0.042  0.591  0.775
O  0.042  0.909  0.775
O  0.250  0.113  0.489
O  0.250  0.118  0.924
O  0.250  0.382  0.924
O  0.250  0.387  0.489
O  0.458  0.591  0.775
O  0.458  0.909  0.775
O  0.542  0.091  0.225
O  0.542  0.409  0.225
O  0.750  0.613  0.511
O  0.750  0.618  0.076
O  0.750  0.882  0.076
O  0.750  0.887  0.511
O  0.958  0.091  0.225
O  0.958  0.409  0.225

Calculated values
E_tot	-6.32	eV/atom
symmetry	Pmmn, No. 59
Fermi-level density of states	0.000	states/eV/atom
M_tot	0.80	μB per atom